VASP calculation (PBE) on Li3Th2TlTe6 after structural relaxation.

Cell and atoms, written as POSCAR:
```
Li3Th2TlTe6
1.0
9.2462 -2.2655 0.0000
9.2462 2.2655 0.0000
-1.6741 0.0000 9.6228
Li Th Tl Te
3 2 1 6
Cartesian
0.0000 0.0000 0.0000
5.0693 0.0000 7.1859
11.7489 0.0000 2.4370
5.9967 0.0000 1.6542
10.8215 0.0000 7.9686
-0.8371 0.0000 4.8114
2.9267 0.0000 0.6139
2.4204 0.0000 6.0235
7.8836 0.0000 7.4450
8.9346 0.0000 2.1779
14.3978 0.0000 3.5994
13.8916 0.0000 9.0089
```

uncorrected formation energy = -985 meV per atom
total magnetic moment = 0.0 μB per cell
space group = C2/m, No. 12
crystal system = monoclinic
E_tot = -4.468 eV per atom